Crystalline ZrNb2Br at its relaxed geometry, computed with PBE-GGA.

Properties
Total magnetic moment: 0.00 μB/f.u.
Energy above the most stable polymorph in this dataset: 0.189 eV/atom
Symmetry: Fm-3m
ΔE_f (raw): 0.68 eV/atom

Unit cell a=4.789 b=4.789 c=4.789 alpha=60.00 beta=60.00 gamma=60.00
Element x y z (fractional)
Zr 0.500 0.500 0.500
Br 0.000 0.000 0.000
Nb 0.750 0.750 0.750
Nb 0.250 0.250 0.250


Crystalline PrDyIn4 at its relaxed geometry, computed with PBE-GGA.

Properties
Total magnetic moment: 0.00 μB/f.u.
Energy above the most stable polymorph in this dataset: 0.052 eV/atom
Symmetry: Pbam
ΔE_f: -0.328 eV/atom

Unit cell a=3.527 b=10.443 c=18.191 alpha=90.00 beta=90.00 gamma=90.00
Element x y z (fractional)
In 0.500 0.630 0.529
In 0.500 0.513 0.211
In 0.500 0.153 0.579
In 0.500 0.847 0.421
In 0.500 0.205 0.808
In 0.500 0.370 0.471
In 0.500 0.987 0.711
In 0.500 0.705 0.692
In 0.500 0.653 0.921
In 0.500 0.130 0.971
In 0.500 0.795 0.192
In 0.500 0.347 0.079
In 0.500 0.870 0.029
In 0.500 0.295 0.308
In 0.500 0.013 0.289
In 0.500 0.487 0.789
Dy 0.000 0.881 0.574
Dy 0.000 0.381 0.926
Dy 0.000 0.119 0.426
Dy 0.000 0.619 0.074
Pr 0.000 0.581 0.364
Pr 0.000 0.919 0.864
Pr 0.000 0.081 0.136
Pr 0.000 0.419 0.636


Crystalline Sn2GeMo at its relaxed geometry, computed with PBE-GGA.

Properties
Total magnetic moment: 1.90 μB/f.u.
Energy above the most stable polymorph in this dataset: 0.000 eV/atom
Symmetry: Fm-3m
ΔE_f: 0.562 eV/atom

Unit cell a=4.919 b=4.919 c=4.919 alpha=60.00 beta=60.00 gamma=60.00
Site moments in Bohr magnetons follow the coordinates.
Element x y z (fractional)
Mo 0.500 0.500 0.500  1.50
Sn 0.250 0.250 0.250  0.00
Sn 0.750 0.750 0.750  0.00
Ge 0.000 0.000 0.000  -0.02


Crystalline Tl2CdCuBr6 at its relaxed geometry, computed with PBE-GGA.

Properties
Total magnetic moment: 1.01 μB/f.u.
Symmetry: P-1
ΔE_f (raw): -0.64 eV/atom

Unit cell a=8.209 b=7.550 c=7.969 alpha=59.13 beta=53.39 gamma=60.86
Site moments in Bohr magnetons follow the coordinates.
Element x y z (fractional)
Br 0.635 0.094 0.299  0.03
Br 0.998 0.538 0.804  0.03
Br 0.019 0.507 0.314  0.09
Br 0.613 0.125 0.789  0.09
Br 0.450 0.635 0.809  0.10
Br 0.182 0.997 0.294  0.10
Cd 0.816 0.816 0.552  0.01
Cu 0.316 0.316 0.052  0.40
Tl 0.581 0.548 0.340  0.00
Tl 0.051 0.084 0.763  0.00


Crystalline CuTeIr2 at its relaxed geometry, computed with PBE-GGA.

Properties
Total magnetic moment: 0.00 μB/f.u.
Symmetry: Pmmm
ΔE_f (raw): 0.34 eV/atom

Unit cell a=3.092 b=3.550 c=5.796 alpha=90.00 beta=90.00 gamma=90.00
Element x y z (fractional)
Ir 0.000 0.000 0.518
Ir 0.000 0.000 0.982
Cu 0.500 0.500 0.750
Te 0.500 0.500 0.250


Crystalline NbSiNF2 at its relaxed geometry, computed with PBE-GGA.

Properties
Total magnetic moment: 0.00 μB/f.u.
Energy above the most stable polymorph in this dataset: 0.000 eV/atom
Symmetry: P4/mmm
ΔE_f (raw): -0.74 eV/atom

Unit cell a=4.198 b=4.198 c=4.073 alpha=90.00 beta=90.00 gamma=90.00
Element x y z (fractional)
Nb 0.000 0.000 0.000
F 0.500 0.000 0.000
F 0.000 0.500 0.000
N 0.000 0.000 0.500
Si 0.500 0.500 0.500


Crystalline YCd4Ir at its relaxed geometry, computed with PBE-GGA.

Properties
Total magnetic moment: 0.00 μB/f.u.
Symmetry: F-43m
ΔE_f: -0.063 eV/atom

Unit cell a=5.588 b=5.588 c=5.588 alpha=60.00 beta=60.00 gamma=60.00
Element x y z (fractional)
Cd 0.376 0.376 0.376
Cd 0.376 0.376 0.873
Cd 0.376 0.873 0.376
Cd 0.873 0.376 0.376
Y 0.000 0.000 0.000
Ir 0.750 0.750 0.750


Crystalline CsTcPb3 at its relaxed geometry, computed with PBE-GGA.

Properties
Total magnetic moment: 1.08 μB/f.u.
Energy above the most stable polymorph in this dataset: 0.000 eV/atom
Symmetry: Pm-3m
ΔE_f: 0.281 eV/atom

Unit cell a=5.472 b=5.472 c=5.472 alpha=90.00 beta=90.00 gamma=90.00
Site moments in Bohr magnetons follow the coordinates.
Element x y z (fractional)
Cs 0.500 0.500 0.500  0.02
Tc 0.000 0.000 0.000  0.57
Pb 0.500 0.000 0.000  0.01
Pb 0.000 0.500 0.000  0.04
Pb 0.000 0.000 0.500  0.05


Crystalline ZrAlSe at its relaxed geometry, computed with PBE-GGA.

Properties
Total magnetic moment: 0.00 μB/f.u.
Energy above the most stable polymorph in this dataset: 0.218 eV/atom
Symmetry: I4mm
ΔE_f (raw): -0.64 eV/atom

Unit cell a=5.490 b=5.490 c=3.456 alpha=71.65 beta=71.65 gamma=36.70
Element x y z (fractional)
Se 0.687 0.687 0.313
Al 0.998 0.998 0.002
Zr 0.315 0.315 0.685


Crystalline Na3DyPu2Se6 at its relaxed geometry, computed with PBE-GGA.

Properties
Total magnetic moment: 10.00 μB/f.u.
Symmetry: C2/m
ΔE_f (raw): -1.50 eV/atom

Unit cell a=7.257 b=7.257 c=7.370 alpha=99.45 beta=99.45 gamma=120.00
Site moments in Bohr magnetons follow the coordinates.
Element x y z (fractional)
Se 0.592 0.923 0.770  0.07
Se 0.746 0.746 0.230  0.07
Se 0.077 0.408 0.230  0.07
Se 0.923 0.592 0.770  0.07
Se 0.408 0.077 0.230  0.07
Se 0.254 0.254 0.770  0.07
Pu 0.333 0.667 0.000  -5.11
Pu 0.667 0.333 0.000  -5.11
Na 0.500 0.500 0.500  0.00
Na 0.167 0.833 0.500  0.00
Na 0.833 0.167 0.500  0.00
Dy 0.000 0.000 0.000  -0.03


Crystalline ZrAg2Sn2 at its relaxed geometry, computed with PBE-GGA.

Properties
Total magnetic moment: 0.00 μB/f.u.
Energy above the most stable polymorph in this dataset: 0.019 eV/atom
Symmetry: I4/mmm
ΔE_f: 0.000 eV/atom

Unit cell a=3.960 b=3.960 c=7.660 alpha=75.02 beta=75.02 gamma=90.00
Element x y z (fractional)
Zr 0.000 0.000 0.000
Ag 0.250 0.750 0.500
Ag 0.750 0.250 0.500
Sn 0.399 0.399 0.202
Sn 0.601 0.601 0.798


Crystalline La2Er at its relaxed geometry, computed with PBE-GGA.

Properties
Total magnetic moment: 0.00 μB/f.u.
Energy above the most stable polymorph in this dataset: 0.002 eV/atom
Symmetry: C2/m
ΔE_f: 0.037 eV/atom

Unit cell a=3.734 b=6.951 c=8.715 alpha=103.36 beta=90.00 gamma=105.58
Element x y z (fractional)
La 0.942 0.883 0.390
La 0.997 0.994 0.996
La 0.669 0.339 0.332
La 0.614 0.228 0.726
Er 0.279 0.558 0.053
Er 0.332 0.664 0.669